# 1
## AlInTe4 (PBE-GGA)

Data for crystalline AlInTe4 at its relaxed geometry.

abc: 13.1827 4.1732 7.4796
angles: 90.00 121.30 90.00
Positions (direct):
Al: 0.0000 0.0000 0.0000
Al: 0.5000 0.5000 0.0000
In: 0.0000 0.5000 0.5000
In: 0.5000 0.0000 0.5000
Te: 0.1357 0.5000 0.2853
Te: 0.1473 0.0000 0.8238
Te: 0.3527 0.5000 0.1762
Te: 0.3643 0.0000 0.7147
Te: 0.6357 0.0000 0.2853
Te: 0.6473 0.5000 0.8238
Te: 0.8527 0.0000 0.1762
Te: 0.8643 0.5000 0.7147

Values from the calculation:
The value obtained for the electronic total energy is -3.3484 eV/atom. The relative energy among the computed polymorphs is 0.000 eV per atom.

# 2
## PrErCd3 (PBE-GGA)

Data for crystalline PrErCd3 at its relaxed geometry.

abc: 14.9769 14.9769 5.0370
angles: 90.00 90.00 166.59
Positions (direct):
Pr: 0.0754 0.9246 0.7500
Pr: 0.9246 0.0754 0.2500
Er: 0.2149 0.7851 0.2500
Er: 0.7851 0.2149 0.7500
Cd: 0.3213 0.6787 0.2500
Cd: 0.3760 0.6240 0.7500
Cd: 0.4756 0.5244 0.7500
Cd: 0.5244 0.4756 0.2500
Cd: 0.6240 0.3760 0.2500
Cd: 0.6787 0.3213 0.7500

Values from the calculation:
The value obtained for the electronic total energy is -2.7241 eV/atom. Its energy of formation is -0.3066 eV/atom.

# 3
## ReSb2PtW (PBE-GGA)

Data for crystalline ReSb2PtW at its relaxed geometry.

abc: 5.0262 5.0262 4.8790
angles: 90.00 90.00 90.00
Positions (direct):
Re: 0.0000 0.0000 0.0000
Sb: 0.0000 0.5000 0.0000
Sb: 0.5000 0.0000 0.0000
Pt: 0.5000 0.5000 0.5000
W: 0.0000 0.0000 0.5000

Values from the calculation:
The value obtained for the electronic total energy is -6.4908 eV/atom.

# 4
## YV2H (PBE-GGA)

Data for crystalline YV2H at its relaxed geometry.

abc: 6.2776 6.2776 6.2776
angles: 90.00 90.00 90.00
Positions (direct):
Y: 0.0000 0.0000 0.0000
Y: 0.0000 0.5000 0.5000
Y: 0.5000 0.0000 0.5000
Y: 0.5000 0.5000 0.0000
V: 0.2500 0.2500 0.2500
V: 0.2500 0.2500 0.7500
V: 0.2500 0.7500 0.2500
V: 0.2500 0.7500 0.7500
V: 0.7500 0.2500 0.2500
V: 0.7500 0.2500 0.7500
V: 0.7500 0.7500 0.2500
V: 0.7500 0.7500 0.7500
H: 0.0000 0.0000 0.5000
H: 0.0000 0.5000 0.0000
H: 0.5000 0.0000 0.0000
H: 0.5000 0.5000 0.5000

Values from the calculation:
The value obtained for the electronic total energy is -5.5989 eV/atom. The relative energy among the computed polymorphs is 1.285 eV per atom.

# 5
## SrF3 (PBE-GGA)

Data for crystalline SrF3 at its relaxed geometry.

abc: 4.0445 4.0445 6.6008
angles: 90.00 90.00 90.00
Positions (direct):
Sr: 0.0000 0.0000 0.0000
Sr: 0.5000 0.5000 0.5000
F: 0.0000 0.0000 0.5000
F: 0.0000 0.5000 0.2500
F: 0.0000 0.5000 0.7500
F: 0.5000 0.0000 0.2500
F: 0.5000 0.0000 0.7500
F: 0.5000 0.5000 0.0000

Values from the calculation:
The value obtained for the electronic total energy is -4.6301 eV/atom.

# 6
## Be2AlVGe (PBE-GGA)

Data for crystalline Be2AlVGe at its relaxed geometry.

abc: 4.1473 4.1473 4.6945
angles: 90.00 90.00 90.00
Positions (direct):
Be: 0.0000 0.5000 0.0000
Be: 0.5000 0.0000 0.0000
Al: 0.0000 0.0000 0.0000
V: 0.0000 0.0000 0.5000
Ge: 0.5000 0.5000 0.5000

Values from the calculation:
The value obtained for the electronic total energy is -3.9294 eV/atom. Its energy of formation is 1.0568 eV/atom.

# 7
## PRuAuS2 (PBE-GGA)

Data for crystalline PRuAuS2 at its relaxed geometry.

abc: 4.6550 4.6550 4.5240
angles: 90.00 90.00 90.00
Positions (direct):
P: 0.0000 0.0000 0.0000
Ru: 0.0000 0.0000 0.5000
Au: 0.5000 0.5000 0.0000
S: 0.0000 0.5000 0.5000
S: 0.5000 0.0000 0.5000

Values from the calculation:
The value obtained for the electronic total energy is -4.5482 eV/atom. The relative energy among the computed polymorphs is 0.000 eV per atom.

# 8
## Dy2PuTe (PBE-GGA)

Data for crystalline Dy2PuTe at its relaxed geometry.

abc: 3.8190 3.8190 7.7321
angles: 90.00 90.00 90.00
Positions (direct):
Dy: 0.0000 0.0000 0.2298
Dy: 0.0000 0.0000 0.7702
Pu: 0.5000 0.5000 0.5000
Te: 0.5000 0.5000 0.0000

Values from the calculation:
The value obtained for the electronic total energy is -7.1299 eV/atom. The relative energy among the computed polymorphs is 0.000 eV per atom.

# 9
## ReOs2W (PBE-GGA)

Data for crystalline ReOs2W at its relaxed geometry.

abc: 3.8934 3.8934 7.8988
angles: 90.00 90.00 90.00
Positions (direct):
Re: 0.0000 0.0000 0.0000
Re: 0.5000 0.5000 0.5000
Os: 0.0000 0.0000 0.5000
Os: 0.0000 0.5000 0.7500
Os: 0.5000 0.0000 0.2500
Os: 0.5000 0.5000 0.0000
W: 0.0000 0.5000 0.2500
W: 0.5000 0.0000 0.7500

Values from the calculation:
The value obtained for the electronic total energy is -11.8964 eV/atom. Its energy of formation is 0.0688 eV/atom. The relative energy among the computed polymorphs is 0.080 eV per atom.

# 10
## DyHo3Er6Tm2 (PBE-GGA)

Data for crystalline DyHo3Er6Tm2 at its relaxed geometry.

abc: 6.0620 6.0620 11.6080
angles: 94.98 94.98 119.93
Positions (direct):
Dy: 0.0000 0.0000 0.0000
Ho: 0.1668 0.8332 0.5000
Ho: 0.5000 0.5000 0.5000
Ho: 0.8332 0.1668 0.5000
Er: 0.0831 0.4167 0.2496
Er: 0.2505 0.2505 0.7504
Er: 0.4167 0.0831 0.2496
Er: 0.5833 0.9169 0.7504
Er: 0.7495 0.7495 0.2496
Er: 0.9169 0.5833 0.7504
Tm: 0.3333 0.6667 0.0000
Tm: 0.6667 0.3333 0.0000

Values from the calculation:
The value obtained for the electronic total energy is -4.5325 eV/atom. Its energy of formation is 0.0222 eV/atom.

# 11
## DyAlHg2 (PBE-GGA)

Data for crystalline DyAlHg2 at its relaxed geometry.

abc: 4.5387 4.5387 15.6770
angles: 90.00 90.00 120.00
Positions (direct):
Dy: 0.0000 0.0000 0.0000
Dy: 0.3333 0.6667 0.6667
Dy: 0.6667 0.3333 0.3333
Al: 0.0000 0.0000 0.5000
Al: 0.3333 0.6667 0.1667
Al: 0.6667 0.3333 0.8333
Hg: 0.0000 0.0000 0.2297
Hg: 0.0000 0.0000 0.7703
Hg: 0.3333 0.6667 0.4369
Hg: 0.3333 0.6667 0.8964
Hg: 0.6667 0.3333 0.1036
Hg: 0.6667 0.3333 0.5631

Values from the calculation:
The value obtained for the electronic total energy is -2.5260 eV/atom. Its energy of formation is -0.2890 eV/atom.

# 12
## TcPd2Se (PBE-GGA)

Data for crystalline TcPd2Se at its relaxed geometry.

abc: 7.2159 7.2159 5.1465
angles: 90.00 90.00 90.00
Positions (direct):
Tc: 0.0000 0.0000 0.0000
Tc: 0.0000 0.5000 0.2500
Tc: 0.5000 0.0000 0.7500
Tc: 0.5000 0.5000 0.5000
Pd: 0.2275 0.2500 0.6250
Pd: 0.2500 0.7275 0.8750
Pd: 0.2500 0.7725 0.3750
Pd: 0.2725 0.2500 0.1250
Pd: 0.7275 0.7500 0.1250
Pd: 0.7500 0.2275 0.3750
Pd: 0.7500 0.2725 0.8750
Pd: 0.7725 0.7500 0.6250
Se: 0.0000 0.0000 0.5000
Se: 0.0000 0.5000 0.7500
Se: 0.5000 0.0000 0.2500
Se: 0.5000 0.5000 0.0000

Values from the calculation:
The value obtained for the electronic total energy is -5.7757 eV/atom.

| no. | magnetic moment (μB/f.u.) | mass density (kg/m³) |
| --- | --- | --- |
| 1 | 0.0 | 6161 |
| 2 | 0.0 | 8179 |
| 3 | 1.7 | 10894 |
| 4 | 0.0 | 5150 |
| 5 | 1.0 | 4448 |
| 6 | 0.0 | 3467 |
| 7 | 0.0 | 6659 |
| 8 | 6.2 | 10257 |
| 9 | 0.0 | 20817 |
| 10 | 0.0 | 9116 |
| 11 | 0.0 | 10521 |
| 12 | 1.3 | 9662 |